# 1
DFT (PBE-GGA) results for a geometry-optimized YScIn structure.

Structure (extended XYZ):
```
3
Lattice="-2.949 -1.467 -3.817 -3.053 -3.974 0.556 -4.990 0.672 0.267" Properties=species:S:1:pos:R:3 pbc="T T T"
Y -5.496 -2.385 -1.497
Sc 0.000 0.000 0.000
In -8.244 -3.577 -2.246
```

## Properties
Total moment   0.00 μB/atom
Energy above the most stable polymorph in this dataset   297 meV/atom
Crystal system   cubic
E   -5.2656 eV per atom
Formation enthalpy at 0 K   -0.0876 eV per atom
N(E_F)   4.72 states/eV per cell



# 2
DFT (PBE-GGA) results for a geometry-optimized NaSr3O4 structure.

Structure (extended XYZ):
```
8
Lattice="-0.517 1.450 -3.296 0.816 -3.196 -1.534 -9.936 -2.712 0.364" Properties=species:S:1:pos:R:3 pbc="T T T"
Sr -4.968 -1.356 0.182
Sr -2.208 -1.516 -2.329
Na 0.000 0.000 0.000
O -4.818 -2.229 -2.233
O -7.399 -2.019 0.271
O 0.150 -0.873 -2.415
Sr -7.429 -2.941 -2.138
O -2.537 -0.692 0.093
```

## Properties
Total moment   0.13 μB/atom
Crystal system   tetragonal
E   -5.5141 eV per atom
N(E_F)   7.73 states/eV per cell



# 3
DFT (PBE-GGA) results for a geometry-optimized ScAsOF2 structure.

Structure (extended XYZ):
```
5
Lattice="4.447 0.000 0.000 0.000 4.447 0.000 0.000 0.000 3.919" Properties=species:S:1:pos:R:3 pbc="T T T"
As 0.000 0.000 0.000
Sc 2.223 2.223 1.959
F 0.000 2.223 0.000
O 0.000 0.000 1.959
F 2.223 0.000 0.000
```

## Properties
Total moment   0.00 μB/atom
Energy above the most stable polymorph in this dataset   925 meV/atom
Crystal system   tetragonal
E   -5.1111 eV per atom
N(E_F)   5.32 states/eV per cell



# 4
DFT (PBE-GGA) results for a geometry-optimized CaLa2Tb4 structure.

Structure (extended XYZ):
```
7
Lattice="-3.212 1.546 -0.767 -2.049 -1.307 -2.718 -11.249 -12.984 12.275" Properties=species:S:1:pos:R:3 pbc="T T T"
Tb -9.369 -5.412 2.327
Ca 0.000 0.000 0.000
Tb -13.329 -10.860 7.931
La -6.249 -3.612 1.556
Tb -7.142 -7.333 6.463
Tb -3.182 -1.885 0.859
La -10.261 -9.133 7.234
```

## Properties
Total moment   0.00 μB/atom
Crystal system   trigonal
E   -4.2956 eV per atom
Formation enthalpy at 0 K   0.0440 eV per atom
N(E_F)   10.94 states/eV per cell



# 5
DFT (PBE-GGA) results for a geometry-optimized ErSiRh3 structure.

Structure (extended XYZ):
```
10
Lattice="3.570 0.000 0.000 0.000 6.535 -2.329 0.000 0.132 6.936" Properties=species:S:1:pos:R:3 pbc="T T T"
Si 1.785 4.737 3.273
Rh 0.000 6.160 2.502
Er 1.785 4.771 0.223
Rh 0.000 4.518 4.878
Rh 0.000 0.507 2.106
Er 1.785 1.896 4.384
Si 1.785 1.930 1.334
Rh 0.000 3.333 2.304
Rh 1.785 0.000 0.000
Rh 0.000 2.149 -0.270
```

## Properties
Total moment   0.00 μB/atom
Energy above the most stable polymorph in this dataset   0 meV/atom
Crystal system   orthorhombic
E   -7.2117 eV per atom
N(E_F)   7.11 states/eV per cell



# 6
DFT (PBE-GGA) results for a geometry-optimized TbCu2Ni structure.

Structure (extended XYZ):
```
4
Lattice="4.302 0.000 0.038 0.000 5.037 0.000 -0.029 -2.519 3.158" Properties=species:S:1:pos:R:3 pbc="T T T"
Ni 2.151 0.000 0.019
Tb 2.151 2.519 0.019
Cu -0.009 0.000 1.179
Cu 4.281 2.519 2.016
```

## Properties
Total moment   0.00 μB/atom
Crystal system   orthorhombic
E   -4.6750 eV per atom
Formation enthalpy at 0 K   -0.0240 eV per atom
N(E_F)   2.45 states/eV per cell



# 7
DFT (PBE-GGA) results for a geometry-optimized Cr7W structure.

Structure (extended XYZ):
```
8
Lattice="0.000 3.691 3.691 3.691 0.000 3.691 3.691 3.691 0.000" Properties=species:S:1:pos:R:3 pbc="T T T"
Cr 3.691 3.691 3.691
Cr 3.691 1.846 1.846
W 0.000 0.000 0.000
Cr 1.846 1.846 0.000
Cr 1.846 0.000 1.846
Cr 1.846 3.691 1.846
Cr 1.846 1.846 3.691
Cr 0.000 1.846 1.846
```

## Properties
Total moment   0.00 μB/atom
Energy above the most stable polymorph in this dataset   392 meV/atom
Crystal system   cubic
E   -9.6046 eV per atom
Formation enthalpy at 0 K   0.4350 eV per atom
N(E_F)   17.62 states/eV per cell



# 8
DFT (PBE-GGA) results for a geometry-optimized CaAcTl5 structure.

Structure (extended XYZ):
```
7
Lattice="5.051 0.000 0.000 0.000 5.051 0.000 0.000 0.000 8.987" Properties=species:S:1:pos:R:3 pbc="T T T"
Tl 0.000 2.526 2.016
Tl 2.526 0.000 2.016
Tl 2.526 2.526 4.494
Ac 0.000 0.000 4.494
Tl 0.000 2.526 6.971
Ca 2.526 2.526 0.000
Tl 2.526 0.000 6.971
```

## Properties
Total moment   0.00 μB/atom
Crystal system   tetragonal
E   -2.7195 eV per atom
Formation enthalpy at 0 K   -0.1564 eV per atom
N(E_F)   5.65 states/eV per cell



# 9
DFT (PBE-GGA) results for a geometry-optimized RbZrMnTe3 structure.

Structure (extended XYZ):
```
12
Lattice="4.227 0.000 0.000 0.000 9.846 0.145 0.000 -4.540 9.595" Properties=species:S:1:pos:R:3 pbc="T T T"
Te 3.170 3.856 1.584
Mn 3.170 7.229 3.872
Zr 1.057 5.920 1.491
Rb 3.170 4.343 7.284
Te 3.170 8.018 1.353
Rb 1.057 0.963 2.456
Zr 3.170 -0.614 8.249
Te 1.057 -2.712 8.386
Te 3.170 -0.325 5.281
Te 1.057 5.631 4.459
Te 1.057 1.451 8.156
Mn 1.057 -1.923 5.868
```

## Properties
Total moment   0.67 μB/atom
Crystal system   monoclinic
E   -5.4292 eV per atom
N(E_F)   4.02 states/eV per cell



# 10
DFT (PBE-GGA) results for a geometry-optimized Cs4K2Cd structure.

Structure (extended XYZ):
```
7
Lattice="-0.874 -2.268 -7.111 -0.558 -7.120 2.339 -11.029 5.957 3.426" Properties=species:S:1:pos:R:3 pbc="T T T"
Cs -0.437 -1.134 -3.556
Cd 0.000 0.000 0.000
Cs -4.017 0.432 0.356
Cs -0.279 -3.560 1.170
Cs -8.445 -3.863 -1.702
K -3.792 -4.363 -2.114
K -8.670 0.932 0.768
```

## Properties
Total moment   0.00 μB/atom
Energy above the most stable polymorph in this dataset   51 meV/atom
Crystal system   tetragonal
E   -0.8766 eV per atom
Formation enthalpy at 0 K   0.0554 eV per atom
N(E_F)   7.07 states/eV per cell